16
Lattice="7.7827 0.0000 0.0000 0.0000 7.7827 0.0000 0.0000 0.0000 2.7968" Properties=species:S:1:pos:R:3 comment="TcH | the Alexandria database | GGA-PBE | relaxed" space_group="P4/m, No. 83" de_polymorph_kj_per_mol_atoms=21.4 pbc="T T T"
Tc 0.8034 2.8255 0.0000
Tc 1.4225 5.0206 1.3984
Tc 2.7622 1.4225 1.3984
Tc 2.8255 6.9793 0.0000
Tc 4.9572 0.8034 0.0000
Tc 5.0206 6.3603 1.3984
Tc 6.3603 2.7622 1.3984
Tc 6.9793 4.9572 0.0000
H 0.9658 6.2328 0.0000
H 1.5499 0.9658 0.0000
H 2.1395 3.3025 1.3984
H 3.3025 5.6433 1.3984
H 4.4803 2.1395 1.3984
H 5.6433 4.4803 1.3984
H 6.2328 6.8169 0.0000
H 6.8169 1.5499 0.0000

6
Lattice="2.1252 -4.4982 0.0000 2.1252 4.4982 0.0000 0.0000 0.0000 4.2148" Properties=species:S:1:pos:R:3 comment="Tc5H | the Alexandria database | GGA-PBE | relaxed" e_tot_ev_per_atom=-8.77 space_group="Cmmm, No. 65" pbc="T T T"
Tc 0.0000 0.0000 0.0000
Tc 2.1252 3.0062 2.1074
Tc 2.1252 1.4251 0.0000
Tc 2.1252 -1.4251 0.0000
Tc 2.1252 -3.0062 2.1074
H 2.1252 0.0000 2.1074

6
Lattice="4.1428 0.0000 0.0000 0.0000 2.8317 0.0000 -1.9285 0.0000 3.7007" Properties=species:S:1:pos:R:3 comment="TcH2 | the Alexandria database | GGA-PBE | relaxed" space_group="P2_1/m, No. 11" de_polymorph_kj_per_mol_atoms=6.2 pbc="T T T"
Tc 0.0600 0.7079 1.2232
Tc 2.1543 2.1238 2.4775
H -0.9936 0.7079 3.3191
H 0.3233 2.1238 2.5019
H 1.8910 0.7079 1.1988
H 3.2079 2.1238 0.3816